KSeO2: optimized geometry, GGA-PBE.

It has space group I-42d (No. 122), with a = 5.275 Å, b = 5.275 Å, c = 11.334 Å, α = 90.00°, β = 90.00° and γ = 90.00°. The distinct sites, in fractional coordinates, are K at (0.000, 0.000, 0.000), Se at (0.000, 0.000, 0.500) and O at (0.131, 0.250, 0.625).

For the energy, the calculation gives -4.287 eV/atom. The uncorrected formation energy is -0.6624 eV/atom. As for the magnetic moment: 0.00 μB per cell.